(1)
TmFe2Si2: optimized geometry, GGA-PBEsol.

## Properties
D(E_F): 11.0 states/eV per cell
uncorrected energy: -7.62 eV/atom
formation energy without anion corrections: -0.752 eV/atom
theoretical density: 7.918 g cm⁻³

```
data_TmFe2Si2
_cell_length_a 3.883
_cell_length_b 3.883
_cell_length_c 9.369
_cell_angle_alpha 90.00
_cell_angle_beta 90.00
_cell_angle_gamma 90.00
_symmetry_space_group_name_H-M 'I 4/m m m'
_symmetry_Int_Tables_number 139
_symmetry_space_group_name_Hall '-I 4 2'
loop_
_atom_site_label
_atom_site_fract_x
_atom_site_fract_y
_atom_site_fract_z
_atom_site_occupancy
Tm1 0.000 0.000 0.000 1
Fe1 0.000 0.500 0.250 1
Si1 0.000 0.000 0.368 1
```


(2)
Y5Cd3: optimized geometry, GGA-PBEsol.

## Properties
D(E_F): 21.3 states/eV per cell
uncorrected energy: -4.93 eV/atom
ΔH_f (0 K): -0.214 eV/atom
theoretical density: 6.047 g cm⁻³

```
data_Y5Cd3
_cell_length_a 9.1081
_cell_length_b 9.1081
_cell_length_c 5.9767
_cell_angle_alpha 90.00
_cell_angle_beta 90.00
_cell_angle_gamma 120.00
_symmetry_space_group_name_H-M 'P 63/m c m'
_symmetry_Int_Tables_number 193
_symmetry_space_group_name_Hall '-P 6c 2'
loop_
_atom_site_label
_atom_site_fract_x
_atom_site_fract_y
_atom_site_fract_z
_atom_site_occupancy
Y1 0.0000 0.2362 0.2500 1
Y2 0.3333 0.6667 0.0000 1
Cd1 0.0000 0.4026 0.7500 1
```


(3)
Ir5Cl: optimized geometry, GGA-PBEsol.

## Properties
D(E_F): 13.9 states/eV per cell
uncorrected energy: -7.91 eV/atom
formation energy without anion corrections: 0.613 eV/atom
theoretical density: 18.961 g cm⁻³

```
data_Ir5Cl
_cell_length_a 4.383
_cell_length_b 2.741
_cell_length_c 14.526
_cell_angle_alpha 90.00
_cell_angle_beta 90.00
_cell_angle_gamma 90.00
_symmetry_space_group_name_H-M 'A m m 2'
_symmetry_Int_Tables_number 38
_symmetry_space_group_name_Hall 'A 2 -2'
loop_
_atom_site_label
_atom_site_fract_x
_atom_site_fract_y
_atom_site_fract_z
_atom_site_occupancy
Ir1 0.000 0.000 0.000 1
Ir2 0.000 0.000 0.328 1
Ir3 0.000 0.000 0.671 1
Ir4 0.500 0.000 0.217 1
Ir5 0.500 0.000 0.562 1
Cl1 0.500 0.000 0.907 1
```


(4)
LiBeIn2: optimized geometry, GGA-PBEsol.

## Properties
D(E_F): 1.2 states/eV per cell
uncorrected energy: -2.83 eV/atom
ΔH_f (0 K): 0.155 eV/atom
theoretical density: 5.658 g cm⁻³

```
data_LiBeIn2
_cell_length_a 3.644
_cell_length_b 3.644
_cell_length_c 5.427
_cell_angle_alpha 90.00
_cell_angle_beta 90.00
_cell_angle_gamma 90.00
_symmetry_space_group_name_H-M 'P 4 m m'
_symmetry_Int_Tables_number 99
_symmetry_space_group_name_Hall 'P 4 -2'
loop_
_atom_site_label
_atom_site_fract_x
_atom_site_fract_y
_atom_site_fract_z
_atom_site_occupancy
Li1 0.000 0.000 0.000 1
Be1 0.500 0.500 0.264 1
In1 0.000 0.000 0.471 1
In2 0.500 0.500 0.779 1
```